Computed, not measured: RbTl2VF8 after structural relaxation at the GGA+U level of DFT.

a = 4.878 Å, b = 6.382 Å, c = 8.124 Å
α = 90.09°, β = 90.07°, γ = 97.19°
Element x y z (fractional)
Rb  0.000  0.000  0.000
Tl  0.500  0.500  0.241
Tl  0.500  0.500  0.759
V  0.000  0.000  0.500
F  0.103  0.824  0.339
F  0.104  0.825  0.661
F  0.337  0.153  0.500
F  0.487  0.732  0.000
F  0.513  0.268  0.000
F  0.663  0.847  0.500
F  0.896  0.175  0.339
F  0.897  0.176  0.661

Electronic total energy ... -56.3 eV per cell
SG ... P-1